Below is crystalline LaMgOs at its relaxed geometry, with properties calculated at the PBE-GGA level.

For the final energy, the calculation gives -58.99 eV/cell. The density of states at the Fermi level comes out at 1.203 states/eV/atom. The calculation puts the energy relative to the elements at 1.00 eV per atom.

The space group is F-43m (No. 216) and the conventional cell measures 6.796, 6.796 and 6.796 Å, with angles of 90.00, 90.00 and 90.00 degrees. Symmetry generates all atoms from La at (0.000, 0.000, 0.000), Mg at (0.250, 0.250, 0.250) and Os at (0.250, 0.250, 0.750).

---

Below is crystalline InHPd3 at its relaxed geometry, with properties calculated at the PBE-GGA level.

For the final energy, the calculation gives -46.86 eV/cell. The density of states at the Fermi level comes out at 0.295 states/eV/atom. The distance to the lowest polymorph of the same formula is 89.3 meV per atom.

The space group is P2_1/m (No. 11) and the conventional cell measures 5.043, 5.754 and 5.045 Å, with angles of 90.00, 110.29 and 90.00 degrees. Symmetry generates all atoms from In at (0.235, 0.250, 0.265), H at (0.456, 0.750, 0.049), Pd at (0.240, 0.750, 0.259) and Pd at (0.255, 0.000, 0.755).

---

Below is crystalline CaLa5Er at its relaxed geometry, with properties calculated at the PBE-GGA level.

For the final energy, the calculation gives -121.43 eV/cell. The density of states at the Fermi level comes out at 1.336 states/eV/atom. The calculation puts the energy relative to the elements at 0.12 eV per atom.

The space group is C2/c (No. 15) and the conventional cell measures 8.912, 10.226 and 11.933 Å, with angles of 90.00, 108.54 and 90.00 degrees. Symmetry generates all atoms from Ca at (0.000, 0.247, 0.250), La at (0.000, 0.104, 0.750), La at (0.116, 0.433, 0.661), La at (0.172, 0.092, 0.536) and Er at (0.250, 0.250, 0.000).

---

Below is crystalline Ca2HfMo at its relaxed geometry, with properties calculated at the PBE-GGA level.

For the final energy, the calculation gives -80.79 eV/cell. The density of states at the Fermi level comes out at 1.096 states/eV/atom. The calculation puts the energy relative to the elements at 1.15 eV per atom. The distance to the lowest polymorph of the same formula is 142.2 meV per atom.

The space group is I-42d (No. 122) and the conventional cell measures 8.715, 8.715 and 5.665 Å, with angles of 90.00, 90.00 and 90.00 degrees. Symmetry generates all atoms from Ca at (0.205, 0.250, 0.125), Hf at (0.000, 0.000, 0.500) and Mo at (0.000, 0.000, 0.000).

---

Below is crystalline KBaSr2P at its relaxed geometry, with properties calculated at the PBE-GGA level.

For the final energy, the calculation gives -13.94 eV/cell. The density of states at the Fermi level comes out at 0.984 states/eV/atom. The calculation puts the energy relative to the elements at -0.43 eV per atom.

The space group is P4/mmm (No. 123) and the conventional cell measures 6.133, 6.133 and 6.487 Å, with angles of 90.00, 90.00 and 90.00 degrees. Symmetry generates all atoms from K at (0.000, 0.000, 0.000), Ba at (0.500, 0.500, 0.000), Sr at (0.000, 0.500, 0.500) and P at (0.500, 0.500, 0.500).

---

Below is crystalline Ac6Ir3Pd at its relaxed geometry, with properties calculated at the PBE-GGA level.

For the final energy, the calculation gives -125.79 eV/cell. The density of states at the Fermi level comes out at 0.602 states/eV/atom. The calculation puts the energy relative to the elements at -0.65 eV per atom.

The space group is P2_1/m (No. 11) and the conventional cell measures 12.562, 4.382 and 13.040 Å, with angles of 90.00, 111.73 and 90.00 degrees. Symmetry generates all atoms from Ac at (0.048, 0.250, 0.396), Ac at (0.097, 0.750, 0.934), Ac at (0.241, 0.250, 0.769), Ac at (0.250, 0.750, 0.270), Ac at (0.407, 0.250, 0.565), Ac at (0.440, 0.250, 0.104), Ir at (0.003, 0.250, 0.775), Ir at (0.334, 0.750, 0.939), Ir at (0.418, 0.250, 0.338) and Pd at (0.197, 0.750, 0.565).

---

Below is crystalline Tb2NdHo at its relaxed geometry, with properties calculated at the PBE-GGA level.

For the final energy, the calculation gives -18.53 eV/cell. The density of states at the Fermi level comes out at 1.495 states/eV/atom. The calculation puts the energy relative to the elements at 0.02 eV per atom. The distance to the lowest polymorph of the same formula is 12.7 meV per atom.

The space group is P4/mmm (No. 123) and the conventional cell measures 5.061, 5.061 and 5.069 Å, with angles of 90.00, 90.00 and 90.00 degrees. Symmetry generates all atoms from Tb at (0.000, 0.500, 0.000), Nd at (0.000, 0.000, 0.500) and Ho at (0.500, 0.500, 0.500).

---

Below is crystalline SrBiB at its relaxed geometry, with properties calculated at the PBE-GGA level.

For the final energy, the calculation gives -21.86 eV/cell. The density of states at the Fermi level comes out at 0.455 states/eV/atom. The calculation puts the energy relative to the elements at 0.44 eV per atom. The distance to the lowest polymorph of the same formula is 0.0 meV per atom.

The space group is P-1 (No. 2) and the conventional cell measures 4.320, 4.385 and 10.158 Å, with angles of 90.00, 77.78 and 89.99 degrees. Symmetry generates all atoms from Sr at (0.175, 0.249, 0.149), Bi at (0.434, 0.251, 0.631) and B at (0.324, 0.251, 0.851).